Cs2GaAgBi2 (PBE-GGA, optimized geometry); SG = Ibam; final energy = -2.797 eV/atom; DOS(E_F) = 5.77 states/eV per cell; magnetic moment = 0.00 μB/cell
1.0
-3.6548 8.8243 3.6088
3.6548 -8.8243 3.6088
3.6548 8.8243 -3.6088
Cs Ga Ag Bi
4 2 2 4
Direct
0.1629 0.2354 0.3983 Cs
0.3371 0.7354 0.0725 Cs
0.6629 0.2646 0.9275 Cs
0.8371 0.7646 0.6017 Cs
0.2500 0.7500 0.5000 Ga
0.7500 0.2500 0.5000 Ga
0.2500 0.2500 0.0000 Ag
0.7500 0.7500 0.0000 Ag
0.0864 0.7307 0.8171 Bi
0.4136 0.2307 0.6443 Bi
0.5864 0.7693 0.3557 Bi
0.9136 0.2693 0.1829 Bi